First-principles (PBE) data for a relaxed PrY8Ho2 crystal, as listed in the Alexandria database.

Lattice parameters (Å, degrees): 5.563 10.234 10.234 39.90 92.71 92.71
Fractional coordinates of all 11 atoms:
Y 0.269 0.600 0.132
Y 0.731 0.400 0.868
Y 0.237 0.547 0.547
Y 0.731 0.868 0.400
Y 0.269 0.132 0.600
Y 0.234 0.189 0.189
Y 0.763 0.453 0.453
Y 0.766 0.811 0.811
Ho 0.751 0.284 0.284
Ho 0.249 0.716 0.716
Pr 0.000 0.000 0.000

The volume is 373.3 Å³/f.u. The calculation puts the total energy at -5.8262 eV/atom. The space-group type is C2/m (12). The energy of formation comes out at 142 meV/atom. Its energy relative to the lowest polymorph listed for this composition is 0 meV/atom.


First-principles (PBE) data for a relaxed CdRhCl2 crystal, as listed in the Alexandria database.

Lattice parameters (Å, degrees): 6.893 6.893 4.787 69.59 69.59 27.30
Fractional coordinates of all 4 atoms:
Cl 0.396 0.396 0.604
Cl 0.104 0.104 0.896
Cd 0.250 0.250 0.250
Rh 0.750 0.750 0.750

For the energy relative to the elements, uncorrected, the calculation gives -0.286 eV/atom. The volume is 97.4 Å³/f.u. The calculation puts the total energy at -3.2763 eV/atom. The space-group type is C2/m (12). Its energy relative to the lowest polymorph listed for this composition is 77 meV/atom.


First-principles (PBE) data for a relaxed VAg2Ru crystal, as listed in the Alexandria database.

Lattice parameters (Å, degrees): 2.884 11.459 3.920 90.00 90.00 90.00
Fractional coordinates of all 8 atoms:
Ru 0.500 0.360 0.000
Ru 0.000 0.640 0.500
Ag 0.000 0.932 0.500
Ag 0.000 0.200 0.500
Ag 0.500 0.800 0.000
Ag 0.500 0.068 0.000
V 0.000 0.436 0.500
V 0.500 0.564 0.000

The volume is 64.8 Å³/f.u. The calculation puts the total energy at -5.9720 eV/atom. The space-group type is Pmmn (59). The energy of formation comes out at 52 meV/atom. Its energy relative to the lowest polymorph listed for this composition is 93 meV/atom.


First-principles (PBE) data for a relaxed Sr4Y3TmSe8 crystal, as listed in the Alexandria database.

Lattice parameters (Å, degrees): 8.397 8.551 8.397 119.41 120.00 90.00
Fractional coordinates of all 16 atoms:
Se 0.254 0.271 0.012
Se 0.256 0.269 0.512
Se 0.759 0.271 0.012
Se 0.746 0.729 0.988
Se 0.759 0.271 0.517
Se 0.744 0.731 0.488
Se 0.241 0.729 0.988
Se 0.241 0.729 0.483
Sr 0.000 0.000 0.000
Sr 0.500 0.000 0.000
Sr 0.500 0.000 0.500
Sr 0.000 0.000 0.500
Y 0.500 0.500 0.000
Y 0.000 0.500 0.500
Y 0.500 0.500 0.500
Tm 0.000 0.500 0.000

For the energy relative to the elements, uncorrected, the calculation gives -1.881 eV/atom. The volume is 430.2 Å³/f.u. The calculation puts the total energy at -5.5348 eV/atom. The space-group type is R-3m (166).